Density functional theory data (PBE-GGA) for a geometry-optimized Pm5Sm4 structure.

a b c (Å): 5.1495 8.1418 8.1418
angles (deg): 84.22 71.51 71.51
Fractional coordinates of all 9 atoms:
Pm 0.0000 0.9997 0.0003
Pm 0.0000 0.3336 0.6664
Pm 0.0000 0.6667 0.3333
Pm 0.3330 0.3337 0.0003
Pm 0.6670 0.9997 0.6663
Sm 0.3334 0.6667 0.6666
Sm 0.3334 0.0000 0.3333
Sm 0.6666 0.6667 0.0000
Sm 0.6666 0.3334 0.3333

Calculated values
energy relative to the elements	0.0133	eV per atom
total moment	0.0	μB per formula unit
volume	307.0	Å³/cell